# SrHgS3

A geometry-optimized SrHgS3 structure (PBE-GGA, Alexandria).

The calculation puts the uncorrected formation energy at -0.353 eV/atom. The space group is Pm-3m. For the energy above the most stable polymorph in this dataset, the calculation gives 0.000 eV per atom. The value obtained for the density of states at the Fermi level is 0.87 states/eV per atom. For the total energy, the calculation gives -16.1 eV for the cell shown.

Geometry as extended XYZ:
```
5
Lattice="5.035 0.000 0.000 0.000 5.035 0.000 0.000 0.000 5.035" Properties=species:S:1:pos:R:3 pbc="T T T"
Sr 0.000 0.000 0.000
Hg 2.518 2.518 2.518
S 0.000 2.518 2.518
S 2.518 0.000 2.518
S 2.518 2.518 0.000
```